# Cs2ErSe2O6

An optimized crystal structure of Cs2ErSe2O6 (GGA-PBE, Alexandria).

total energy	-5.477	eV/atom
formation energy (no corrections)	-1.568	eV/atom
DOS at the Fermi energy	2.9	states/eV/f.u.

Cell lengths 5.9634, 5.9634, 7.6116 Å; angles 108.22, 108.22, 63.72 degrees
With the nearest neighbours (Å) after each atom.
Fractional coordinates of all 11 atoms:
Cs1 0.2096 0.2096 0.1529  5 O 3.09-3.23
Cs2 0.7904 0.7904 0.8471  5 O 3.09-3.23
Er1 0.0000 0.0000 0.5000  6 O 2.27
Se1 0.4172 0.4172 0.7469  3 O 1.75-1.84
Se2 0.5828 0.5828 0.2531  3 O 1.75-1.84
O1 0.2402 0.2402 0.5900  1 Se 1.75
O2 0.2494 0.7488 0.7135  1 Se 1.84
O3 0.2512 0.7506 0.2865  1 Se 1.84
O4 0.7488 0.2494 0.7135  1 Se 1.84
O5 0.7506 0.2512 0.2865  1 Se 1.84
O6 0.7598 0.7598 0.4100  1 Se 1.75